# NiIr2Ru

Crystalline NiIr2Ru at its relaxed geometry (PBEsol, Alexandria).

Lattice parameters (Å, degrees): 2.677 2.677 7.264 90.00 90.00 90.00
Positions (direct):
Ni  0.000  0.000  0.000
Ir  0.000  0.000  0.494
Ir  0.500  0.500  0.760
Ru  0.500  0.500  0.236

Output
- calculated formation energy (meV/atom) = 59
- M_tot (Bohr magnetons per cell) = 0.0
- V (Å³ per cell) = 52.1
- space group = P4mm (99)
- N(E_F) (states/eV/atom) = 1.40